Record 1
The following is a PBE calculation of a geometry-optimized GaSiF6 structure, from the Alexandria database.

Cell lengths 4.999, 4.999, 5.635 Å; angles 110.66, 110.66, 82.97 degrees
Element x y z (fractional)
Ga  0.000  0.000  0.000
Si  0.000  0.000  0.500
F  0.076  0.717  0.249
F  0.207  0.207  0.447
F  0.283  0.924  0.751
F  0.717  0.076  0.249
F  0.793  0.793  0.553
F  0.924  0.283  0.751

Its uncorrected formation energy is -2.539 eV/atom. The crystal system is monoclinic. The value obtained for the total magnetization is 0.00 μB per formula unit. As for the raw total energy: -39.99 eV for the cell shown.

Record 2
The following is a PBE calculation of a geometry-optimized Cs3HoNp2S6 structure, from the Alexandria database.

Cell lengths 7.152, 7.152, 8.408 Å; angles 98.15, 98.15, 120.00 degrees
Element x y z (fractional)
Cs  0.000  0.000  0.000
Cs  0.334  0.666  0.000
Cs  0.666  0.334  0.000
Ho  0.500  0.500  0.500
Np  0.167  0.833  0.500
Np  0.833  0.167  0.500
S  0.108  0.440  0.319
S  0.229  0.229  0.680
S  0.440  0.108  0.319
S  0.560  0.892  0.681
S  0.771  0.771  0.320
S  0.892  0.560  0.681

Its uncorrected formation energy is -1.496 eV/atom. The crystal system is monoclinic. The value obtained for the total magnetization is 8.00 μB per formula unit. As for the raw total energy: -75.74 eV for the cell shown.

Record 3
The following is a PBE calculation of a geometry-optimized TbYPtAu structure, from the Alexandria database.

Cell lengths 4.598, 5.692, 5.692 Å; angles 38.86, 90.00, 90.00 degrees
Element x y z (fractional)
Tb  0.000  0.000  0.000
Y  0.500  0.724  0.724
Pt  0.500  0.452  0.452
Au  0.000  0.276  0.276

The crystal system is orthorhombic. The value obtained for the total magnetization is 0.00 μB per formula unit. The calculated formation energy comes out at -1.078 eV/atom. As for the raw total energy: -24.72 eV for the cell shown.

Record 4
The following is a PBE calculation of a geometry-optimized CdTe structure, from the Alexandria database.

Cell lengths 3.289, 3.289, 10.599 Å; angles 90.00, 90.00, 103.35 degrees
Element x y z (fractional)
Cd  0.250  0.750  0.896
Cd  0.750  0.250  0.104
Te  0.250  0.750  0.331
Te  0.750  0.250  0.669

Its uncorrected formation energy is 0.071 eV/atom. The crystal system is orthorhombic. The value obtained for the total magnetization is 0.00 μB per formula unit. As for the raw total energy: -7.83 eV for the cell shown.

- What is the total magnetization in the second record?
  8.00 μB per formula unit